Below is a relaxed structure of PdPtN2, with properties calculated at the PBE-GGA level.

It has space group Fm-3m (No. 225), with a = 5.5931 Å, b = 5.5931 Å, c = 5.5931 Å, α = 90.00°, β = 90.00° and γ = 90.00°. The distinct sites, in fractional coordinates, are Pd at (0.0000, 0.0000, 0.0000), Pt at (0.0000, 0.0000, 0.5000) and N at (0.2500, 0.2500, 0.2500).

The volume is 175.0 Å³ per cell. For the energy above the most stable polymorph in this dataset, the calculation gives 888.3 meV/atom. Its total energy is -5.329 eV per atom.

Below is a relaxed structure of Ac5Sn2O12, with properties calculated at the PBE-GGA level.

It has space group C2/m (No. 12), with a = 13.5054 Å, b = 6.4032 Å, c = 8.0579 Å, α = 90.00°, β = 107.12° and γ = 90.00°. The distinct sites, in fractional coordinates, are Ac at (0.0000, 0.0000, 0.0000), Ac at (0.1915, 0.5000, 0.8563), Ac at (0.1964, 0.5000, 0.3386), Sn at (0.0000, 0.2421, 0.5000), O at (0.0011, 0.0000, 0.6788), O at (0.0016, 0.5000, 0.3260), O at (0.1559, 0.2481, 0.0777) and O at (0.1606, 0.2648, 0.5804).

The volume is 666.0 Å³ per cell. Its total energy is -7.401 eV per atom.

Below is a relaxed structure of Nd3Mg3Ni2, with properties calculated at the PBE-GGA level.

It has space group C2/m (No. 12), with a = 17.6236 Å, b = 4.2680 Å, c = 5.2729 Å, α = 90.00°, β = 100.12° and γ = 90.00°. The distinct sites, in fractional coordinates, are Nd at (0.0000, 0.0000, 0.0000), Nd at (0.1675, 0.0000, 0.5961), Mg at (0.0000, 0.5000, 0.5000), Mg at (0.1427, 0.5000, 0.0803) and Ni at (0.2308, 0.0000, 0.1238).

The volume is 390.4 Å³ per cell. As for the formation energy: -0.195 eV per atom. Its total energy is -4.026 eV per atom.